Compound: SiSnRu
Source: Alexandria via LeMat-Bulk
Functional: PBE-GGA
Structure: optimized geometry

Magnetization ... 0.0 μB/cell
ΔE_f (raw) ... -0.209 eV/atom
Calculated density ... 8.1 Mg/m³
Symmetry ... P2_1/m (11)
E ... -19.3 eV per formula unit
Fermi-level density of states ... 0.362 states/eV/atom
V ... 16.9 A^3/atom

Unit cell a=3.746 b=6.932 c=11.692 alpha=92.18 beta=90.00 gamma=90.00
Fractional positions:
Si (0.250, 0.874, 0.466)
Si (0.750, 0.992, 0.921)
Si (0.750, 0.126, 0.534)
Si (0.250, 0.380, 0.209)
Si (0.250, 0.008, 0.079)
Si (0.750, 0.620, 0.791)
Ru (0.250, 0.760, 0.929)
Ru (0.750, 0.240, 0.071)
Ru (0.250, 0.212, 0.407)
Ru (0.750, 0.788, 0.593)
Ru (0.250, 0.770, 0.252)
Ru (0.750, 0.230, 0.748)
Sn (0.750, 0.563, 0.391)
Sn (0.250, 0.368, 0.907)
Sn (0.250, 0.437, 0.609)
Sn (0.250, 0.949, 0.734)
Sn (0.750, 0.632, 0.093)
Sn (0.750, 0.051, 0.266)